# CePu2Ta

Crystalline CePu2Ta at its relaxed geometry (PBE, the Alexandria database).

Output
Total moment = 10.31 Bohr magnetons per cell

Structure (CIF):
```
data_CePu2Ta
_space_group_name_H-M_alt 'P 4/m m m'
_space_group_IT_number 123
_space_group_name_Hall '-P 4 2'
_cell_length_a 3.0787
_cell_length_b 3.0787
_cell_length_c 9.7410
_cell_angle_alpha 90.00
_cell_angle_beta 90.00
_cell_angle_gamma 90.00
loop_
_atom_site_label
_atom_site_type_symbol
_atom_site_fract_x
_atom_site_fract_y
_atom_site_fract_z
Ce1 Ce 0.0000 0.0000 0.0000
Pu1 Pu 0.5000 0.5000 0.2705
Ta1 Ta 0.0000 0.0000 0.5000
```


# TbCe2Pu

Crystalline TbCe2Pu at its relaxed geometry (PBE, the Alexandria database).

Output
Total moment = 4.50 Bohr magnetons per cell

Structure (CIF):
```
data_TbCe2Pu
_space_group_name_H-M_alt 'P 4/m m m'
_space_group_IT_number 123
_space_group_name_Hall '-P 4 2'
_cell_length_a 3.3835
_cell_length_b 3.3835
_cell_length_c 9.6826
_cell_angle_alpha 90.00
_cell_angle_beta 90.00
_cell_angle_gamma 90.00
loop_
_atom_site_label
_atom_site_type_symbol
_atom_site_fract_x
_atom_site_fract_y
_atom_site_fract_z
Tb1 Tb 0.0000 0.0000 0.0000
Ce1 Ce 0.5000 0.5000 0.2718
Pu1 Pu 0.0000 0.0000 0.5000
```


# TbCePu

Crystalline TbCePu at its relaxed geometry (PBE, the Alexandria database).

Output
Total moment = 6.09 Bohr magnetons per cell

Structure (CIF):
```
data_TbCePu
_space_group_name_H-M_alt 'P -6 m 2'
_space_group_IT_number 187
_space_group_name_Hall 'P -6 2'
_cell_length_a 5.5527
_cell_length_b 5.5527
_cell_length_c 3.1872
_cell_angle_alpha 90.00
_cell_angle_beta 90.00
_cell_angle_gamma 120.00
loop_
_atom_site_label
_atom_site_type_symbol
_atom_site_fract_x
_atom_site_fract_y
_atom_site_fract_z
Tb1 Tb 0.0000 0.0000 0.0000
Ce1 Ce 0.3333 0.6667 0.0000
Pu1 Pu 0.6667 0.3333 0.5000
```


# TbCePu

Crystalline TbCePu at its relaxed geometry (PBE, the Alexandria database).

Output
Total moment = 11.65 Bohr magnetons per cell

Structure (CIF):
```
data_TbCePu
_space_group_name_H-M_alt 'P m m n'
_space_group_IT_number 59
_cell_length_a 3.4210
_cell_length_b 5.2249
_cell_length_c 9.4643
_cell_angle_alpha 90.00
_cell_angle_beta 90.00
_cell_angle_gamma 90.00
loop_
_space_group_symop_operation_xyz
'x,y,z'
'-x,-y,-z'
'-x+1/2,-y+1/2,z'
'x+1/2,y+1/2,-z'
'x+1/2,-y,-z'
'-x+1/2,y,z'
'-x,y+1/2,-z'
'x,-y+1/2,z'
loop_
_atom_site_label
_atom_site_type_symbol
_atom_site_fract_x
_atom_site_fract_y
_atom_site_fract_z
Tb1 Tb 0.2500 0.2500 0.0950
Ce1 Ce 0.2500 0.2500 0.7104
Pu1 Pu 0.2500 0.7500 0.5814
```


# TbCe2Pu

Crystalline TbCe2Pu at its relaxed geometry (PBE, the Alexandria database).

Output
Total moment = 6.94 Bohr magnetons per cell

Structure (CIF):
```
data_TbCe2Pu
_space_group_name_H-M_alt 'P 4/m m m'
_space_group_IT_number 123
_space_group_name_Hall '-P 4 2'
_cell_length_a 4.8719
_cell_length_b 4.8719
_cell_length_c 4.7259
_cell_angle_alpha 90.00
_cell_angle_beta 90.00
_cell_angle_gamma 90.00
loop_
_atom_site_label
_atom_site_type_symbol
_atom_site_fract_x
_atom_site_fract_y
_atom_site_fract_z
Tb1 Tb 0.0000 0.0000 0.0000
Ce1 Ce 0.0000 0.5000 0.5000
Pu1 Pu 0.5000 0.5000 0.0000
```


# TbCePu

Crystalline TbCePu at its relaxed geometry (PBE, the Alexandria database).

Output
Total moment = 10.41 Bohr magnetons per cell

Structure (CIF):
```
data_TbCePu
_space_group_name_H-M_alt 'I 4 m m'
_space_group_IT_number 107
_space_group_name_Hall 'I 4 -2'
_cell_length_a 3.4451
_cell_length_b 3.4451
_cell_length_c 14.2830
_cell_angle_alpha 90.00
_cell_angle_beta 90.00
_cell_angle_gamma 90.00
loop_
_atom_site_label
_atom_site_type_symbol
_atom_site_fract_x
_atom_site_fract_y
_atom_site_fract_z
Tb1 Tb 0.0000 0.0000 0.0000
Ce1 Ce 0.0000 0.0000 0.6791
Pu1 Pu 0.0000 0.0000 0.3243
```


| no. | DFT formation energy (meV per atom) |
| --- | --- |
| 1 | 247 |
| 2 | 109 |
| 3 | 239 |
| 4 | 133 |
| 5 | 126 |
| 6 | 118 |